Entry 1:
Compound: MgH2W2
Source: Alexandria
Functional: PBE
Structure: relaxed

calculated total energy = -5.83 eV per atom
relative energy among the computed polymorphs = 694 meV per atom
symmetry = P4/mbm (127)
M_tot = 0.000 μB/f.u.

abc: 7.080 7.080 2.671
angles: 90.00 90.00 90.00
Fractional coordinates of all 10 atoms:
Mg  0.000  0.000  0.000
Mg  0.500  0.500  0.000
H  0.103  0.397  0.500
H  0.397  0.897  0.500
H  0.603  0.103  0.500
H  0.897  0.603  0.500
W  0.123  0.623  0.000
W  0.377  0.123  0.000
W  0.623  0.877  0.000
W  0.877  0.377  0.000


Entry 2:
Compound: Mg3H8W
Source: Alexandria
Functional: PBE
Structure: relaxed

calculated total energy = -3.77 eV per atom
symmetry = Pm-3m (221)
M_tot = 0.000 μB/f.u.

abc: 4.570 4.570 4.570
angles: 90.00 90.00 90.00
Fractional coordinates of all 12 atoms:
Mg  0.000  0.000  0.500
Mg  0.000  0.500  0.000
Mg  0.500  0.000  0.000
H  0.263  0.263  0.263
H  0.263  0.263  0.737
H  0.263  0.737  0.263
H  0.263  0.737  0.737
H  0.737  0.263  0.263
H  0.737  0.263  0.737
H  0.737  0.737  0.263
H  0.737  0.737  0.737
W  0.500  0.500  0.500


Entry 3:
Compound: MgHW2
Source: Alexandria
Functional: PBE
Structure: relaxed

calculated total energy = -7.03 eV per atom
relative energy among the computed polymorphs = 0 meV per atom
symmetry = I4_1/amd (141)
M_tot = 0.000 μB/f.u.

abc: 5.598 5.598 5.598
angles: 119.87 119.87 90.22
Fractional coordinates of all 8 atoms:
Mg  0.375  0.625  0.750
Mg  0.625  0.375  0.250
H  0.125  0.875  0.250
H  0.875  0.125  0.750
W  0.000  0.000  0.000
W  0.000  0.000  0.500
W  0.000  0.500  0.000
W  0.500  0.000  0.500


Entry 4:
Compound: MgHW
Source: Alexandria
Functional: PBE
Structure: relaxed

calculated total energy = -5.75 eV per atom
relative energy among the computed polymorphs = 77 meV per atom
symmetry = Pmn2_1 (31)
M_tot = 0.000 μB/f.u.

abc: 2.964 4.855 5.125
angles: 90.00 90.00 90.00
Fractional coordinates of all 6 atoms:
Mg  0.000  0.004  0.000
Mg  0.500  0.996  0.500
H  0.000  0.326  0.333
H  0.500  0.674  0.833
W  0.000  0.500  0.667
W  0.500  0.500  0.167


Entry 5:
Compound: Mg3HW
Source: Alexandria
Functional: PBE
Structure: relaxed

calculated total energy = -2.56 eV per atom
relative energy among the computed polymorphs = 1178 meV per atom
symmetry = Pm-3m (221)
M_tot = 4.314 μB/f.u.

abc: 5.476 5.476 5.476
angles: 90.00 90.00 90.00
Fractional coordinates of all 5 atoms:
Mg  0.000  0.000  0.500
Mg  0.000  0.500  0.000
Mg  0.500  0.000  0.000
H  0.500  0.500  0.500
W  0.000  0.000  0.000


Entry 6:
Compound: MgHW
Source: Alexandria
Functional: PBE
Structure: relaxed

calculated total energy = -5.80 eV per atom
relative energy among the computed polymorphs = 33 meV per atom
symmetry = P-4m2 (115)
M_tot = 0.000 μB/f.u.

abc: 3.262 3.262 7.290
angles: 90.00 90.00 90.00
Fractional coordinates of all 6 atoms:
Mg  0.000  0.500  0.141
Mg  0.500  0.000  0.859
H  0.000  0.000  0.274
H  0.000  0.000  0.726
W  0.000  0.500  0.599
W  0.500  0.000  0.401


Entry 7:
Compound: YMgH2W
Source: Alexandria
Functional: PBE
Structure: relaxed

calculated total energy = -4.28 eV per atom
symmetry = P4/mmm (123)
M_tot = 1.356 μB/f.u.

abc: 3.874 3.874 7.514
angles: 90.00 90.00 90.00
Fractional coordinates of all 5 atoms:
Y  0.000  0.000  0.000
Mg  0.000  0.000  0.500
H  0.000  0.500  0.500
H  0.500  0.000  0.500
W  0.500  0.500  0.000


Entry 8:
Compound: Y12Mg3H5
Source: Alexandria
Functional: PBE
Structure: relaxed

calculated total energy = -5.08 eV per atom
symmetry = Ia-3d (230)
M_tot = 0.000 μB/f.u.

abc: 13.566 13.566 13.566
angles: 109.47 109.47 109.47
Fractional coordinates of all 80 atoms:
Y  0.009  0.202  0.105
Y  0.009  0.307  0.903
Y  0.096  0.702  0.693
Y  0.096  0.895  0.403
Y  0.097  0.605  0.404
Y  0.097  0.991  0.693
Y  0.105  0.009  0.202
Y  0.105  0.597  0.904
Y  0.193  0.202  0.596
Y  0.193  0.491  0.597
Y  0.202  0.105  0.009
Y  0.202  0.596  0.193
Y  0.298  0.307  0.904
Y  0.298  0.491  0.395
Y  0.307  0.903  0.009
Y  0.307  0.904  0.298
Y  0.395  0.298  0.491
Y  0.395  0.596  0.903
Y  0.403  0.096  0.895
Y  0.403  0.807  0.509
Y  0.404  0.097  0.605
Y  0.404  0.807  0.798
Y  0.491  0.395  0.298
Y  0.491  0.597  0.193
Y  0.509  0.403  0.807
Y  0.509  0.605  0.702
Y  0.596  0.193  0.202
Y  0.596  0.903  0.395
Y  0.597  0.193  0.491
Y  0.597  0.904  0.105
Y  0.605  0.404  0.097
Y  0.605  0.702  0.509
Y  0.693  0.096  0.702
Y  0.693  0.097  0.991
Y  0.702  0.509  0.605
Y  0.702  0.693  0.096
Y  0.798  0.404  0.807
Y  0.798  0.895  0.991
Y  0.807  0.509  0.403
Y  0.807  0.798  0.404
Y  0.895  0.403  0.096
Y  0.895  0.991  0.798
Y  0.903  0.009  0.307
Y  0.903  0.395  0.596
Y  0.904  0.105  0.597
Y  0.904  0.298  0.307
Y  0.991  0.693  0.097
Y  0.991  0.798  0.895
Mg  0.125  0.250  0.375
Mg  0.125  0.375  0.750
Mg  0.250  0.375  0.125
Mg  0.250  0.875  0.625
Mg  0.375  0.125  0.250
Mg  0.375  0.750  0.125
Mg  0.625  0.250  0.875
Mg  0.625  0.875  0.750
Mg  0.750  0.125  0.375
Mg  0.750  0.625  0.875
Mg  0.875  0.625  0.250
Mg  0.875  0.750  0.625
H  0.000  0.000  0.000
H  0.000  0.000  0.500
H  0.000  0.500  0.000
H  0.000  0.500  0.500
H  0.125  0.750  0.875
H  0.125  0.875  0.250
H  0.250  0.125  0.875
H  0.250  0.625  0.375
H  0.375  0.250  0.625
H  0.375  0.625  0.750
H  0.500  0.000  0.000
H  0.500  0.000  0.500
H  0.500  0.500  0.000
H  0.500  0.500  0.500
H  0.625  0.375  0.250
H  0.625  0.750  0.375
H  0.750  0.375  0.625
H  0.750  0.875  0.125
H  0.875  0.125  0.750
H  0.875  0.250  0.125


Entry 9:
Compound: Y3MgH
Source: Alexandria
Functional: PBE
Structure: relaxed

calculated total energy = -5.01 eV per atom
relative energy among the computed polymorphs = 0 meV per atom
symmetry = Pm-3m (221)
M_tot = 1.744 μB/f.u.

abc: 4.927 4.927 4.927
angles: 90.00 90.00 90.00
Fractional coordinates of all 5 atoms:
Y  0.000  0.000  0.500
Y  0.000  0.500  0.000
Y  0.500  0.000  0.000
Mg  0.500  0.500  0.500
H  0.000  0.000  0.000


Entry 10:
Compound: Y2MgH2
Source: Alexandria
Functional: PBE
Structure: relaxed

calculated total energy = -4.72 eV per atom
symmetry = I4/mmm (139)
M_tot = 0.000 μB/f.u.

abc: 6.712 6.712 6.712
angles: 146.85 146.85 47.58
Fractional coordinates of all 5 atoms:
Y  0.155  0.155  0.000
Y  0.845  0.845  0.000
Mg  0.500  0.500  0.000
H  0.250  0.750  0.500
H  0.750  0.250  0.500


Entry 11:
Compound: YMg3H
Source: Alexandria
Functional: PBE
Structure: relaxed

calculated total energy = -2.86 eV per atom
symmetry = Pm-3m (221)
M_tot = 0.000 μB/f.u.

abc: 4.674 4.674 4.674
angles: 90.00 90.00 90.00
Fractional coordinates of all 5 atoms:
Y  0.000  0.000  0.000
Mg  0.000  0.500  0.500
Mg  0.500  0.000  0.500
Mg  0.500  0.500  0.000
H  0.500  0.500  0.500


Entry 12:
Compound: Y2MgZnH
Source: Alexandria
Functional: PBE
Structure: relaxed

calculated total energy = -4.06 eV per atom
relative energy among the computed polymorphs = 5 meV per atom
symmetry = P4/mmm (123)
M_tot = 0.000 μB/f.u.

abc: 5.023 5.023 3.927
angles: 90.00 90.00 90.00
Fractional coordinates of all 5 atoms:
Y  0.000  0.500  0.000
Y  0.500  0.000  0.000
Mg  0.000  0.000  0.500
Zn  0.500  0.500  0.500
H  0.500  0.500  0.000